No. 1
# Ba3PmY2Te6

Ba3PmY2Te6 after structural relaxation (PBE, Alexandria).

The uncorrected energy is -5.072 eV per atom. The uncorrected formation energy comes out at -1.55 eV per atom.

The structure belongs to space group C2/m (No. 12); the cell edges are 7.985, 13.805 and 8.280 Å and the angles 90.00°, 108.74° and 90.00°. The inequivalent atoms are Ba at (0.000, 0.000, 0.000), Ba at (0.000, 0.336, 0.000), Pm at (0.000, 0.500, 0.500), Y at (0.000, 0.167, 0.500), Te at (0.233, 0.000, 0.716) and Te at (0.242, 0.331, 0.718).

No. 2
# Ba3Pm2YTe6

Ba3Pm2YTe6 after structural relaxation (PBE, Alexandria).

The uncorrected energy is -4.942 eV per atom. The uncorrected formation energy comes out at -1.56 eV per atom.

The structure belongs to space group C2/m (No. 12); the cell edges are 8.022, 13.872 and 8.302 Å and the angles 90.00°, 108.77° and 90.00°. The inequivalent atoms are Ba at (0.000, 0.000, 0.000), Ba at (0.000, 0.331, 0.000), Pm at (0.000, 0.166, 0.500), Y at (0.000, 0.500, 0.500), Te at (0.237, 0.336, 0.719) and Te at (0.246, 0.000, 0.722).

No. 3
# Ba3PmY3Te8

Ba3PmY3Te8 after structural relaxation (PBE, Alexandria).

The uncorrected energy is -5.222 eV per atom. The uncorrected formation energy comes out at -1.55 eV per atom.

The structure belongs to space group R-3m (No. 166, hexagonal axes); the cell edges are 9.0317, 9.0317 and 23.9279 Å and the angles 90.00°, 90.00° and 120.00°. The inequivalent atoms are Ba at (0.0000, 0.5000, 0.0000), Pm at (0.0000, 0.0000, 0.5000), Y at (0.0000, 0.5000, 0.5000), Te at (0.0000, 0.0000, 0.2388) and Te at (0.0099, 0.5049, 0.7601).